# Tl3Zn2F7 PBE-GGA optimized geometry
# **DFT total energy**: -3.9476 eV per atom
# **E_form (uncorrected)**: -2052 meV per atom
# **Total magnetic moment**: 0.0 μB/f.u.
# **Offset from the most stable computed form**: 0.9 kJ/mol of atoms
data_Tl3Zn2F7
_space_group_name_H-M_alt 'C m m m'
_space_group_IT_number 65
_space_group_name_Hall '-C 2 2'
_cell_length_a 4.202
_cell_length_b 23.077
_cell_length_c 4.152
_cell_angle_alpha 90.00
_cell_angle_beta 90.00
_cell_angle_gamma 90.00
loop_
_atom_site_label
_atom_site_fract_x
_atom_site_fract_y
_atom_site_fract_z
Tl1 0.000 0.000 0.000
Tl2 0.000 0.182 0.000
Zn1 0.000 0.408 0.500
F1 0.000 0.092 0.500
F2 0.000 0.321 0.500
F3 0.000 0.408 0.000
F4 0.000 0.500 0.500

# Tl2ZnF4 PBE-GGA optimized geometry
# **DFT total energy**: -3.9518 eV per atom
# **E_form (uncorrected)**: -2024 meV per atom
# **Total magnetic moment**: 0.0 μB/f.u.
# **Offset from the most stable computed form**: 0.0 kJ/mol of atoms
data_Tl2ZnF4
_space_group_name_H-M_alt 'I 41/a c d'
_space_group_IT_number 142
_cell_length_a 5.847
_cell_length_b 5.847
_cell_length_c 29.397
_cell_angle_alpha 90.00
_cell_angle_beta 90.00
_cell_angle_gamma 90.00
loop_
_space_group_symop_operation_xyz
'x,y,z'
'-x,-y,-z'
'-y+1/4,x+3/4,z+1/4'
'y+1/4,-x+3/4,-z+1/4'
'-x+1/2,-y,z+1/2'
'x+1/2,y,-z+1/2'
'y+1/4,-x+1/4,z+3/4'
'-y+1/4,x+1/4,-z+3/4'
'x,-y,-z+1/2'
'-x,y,z+1/2'
'-y+1/4,-x+1/4,-z+1/4'
'y+1/4,x+1/4,z+1/4'
'-x+1/2,y,-z'
'x+1/2,-y,z'
'y+1/4,x+3/4,-z+3/4'
'-y+1/4,-x+3/4,z+3/4'
'x+1/2,y+1/2,z+1/2'
'-x+1/2,-y+1/2,-z+1/2'
'-y+3/4,x+1/4,z+3/4'
'y+3/4,-x+1/4,-z+3/4'
'-x,-y+1/2,z'
'x,y+1/2,-z'
'y+3/4,-x+3/4,z+1/4'
'-y+3/4,x+3/4,-z+1/4'
'x+1/2,-y+1/2,-z'
'-x+1/2,y+1/2,z'
'-y+3/4,-x+3/4,-z+3/4'
'y+3/4,x+3/4,z+3/4'
'-x,y+1/2,-z+1/2'
'x,-y+1/2,z+1/2'
'y+3/4,x+1/4,-z+1/4'
'-y+3/4,-x+1/4,z+1/4'
loop_
_atom_site_label
_atom_site_fract_x
_atom_site_fract_y
_atom_site_fract_z
Tl1 0.000 0.250 0.051
Zn1 0.000 0.250 0.375
F1 0.000 0.250 0.306
F2 0.203 0.047 0.125

# TlZn2F PBE-GGA optimized geometry
# **DFT total energy**: -2.0431 eV per atom
# **E_form (uncorrected)**: -347 meV per atom
# **Total magnetic moment**: 0.0 μB/f.u.
# **Offset from the most stable computed form**: 17.8 kJ/mol of atoms
data_TlZn2F
_space_group_name_H-M_alt 'F m -3 m'
_space_group_IT_number 225
_space_group_name_Hall '-F 4 2 3'
_cell_length_a 6.748
_cell_length_b 6.748
_cell_length_c 6.748
_cell_angle_alpha 90.00
_cell_angle_beta 90.00
_cell_angle_gamma 90.00
loop_
_atom_site_label
_atom_site_fract_x
_atom_site_fract_y
_atom_site_fract_z
Tl1 0.000 0.000 0.000
Zn1 0.250 0.250 0.250
F1 0.000 0.000 0.500

# Tl2ZnF4 PBE-GGA optimized geometry
# **DFT total energy**: -3.9508 eV per atom
# **E_form (uncorrected)**: -2023 meV per atom
# **Total magnetic moment**: 0.0 μB/f.u.
# **Offset from the most stable computed form**: 0.1 kJ/mol of atoms
data_Tl2ZnF4
_space_group_name_H-M_alt 'I 4/m m m'
_space_group_IT_number 139
_space_group_name_Hall '-I 4 2'
_cell_length_a 4.195
_cell_length_b 4.195
_cell_length_c 14.152
_cell_angle_alpha 90.00
_cell_angle_beta 90.00
_cell_angle_gamma 90.00
loop_
_atom_site_label
_atom_site_fract_x
_atom_site_fract_y
_atom_site_fract_z
Tl1 0.000 0.000 0.147
Zn1 0.000 0.000 0.500
F1 0.000 0.000 0.356
F2 0.000 0.500 0.000

# Tl2Zn3F8 PBE-GGA optimized geometry
# **DFT total energy**: -3.9763 eV per atom
# **E_form (uncorrected)**: -2167 meV per atom
# **Total magnetic moment**: 0.0 μB/f.u.
data_Tl2Zn3F8
_space_group_name_H-M_alt 'C 1 2/m 1'
_space_group_IT_number 12
_cell_length_a 13.409
_cell_length_b 6.434
_cell_length_c 5.495
_cell_angle_alpha 90.00
_cell_angle_beta 109.26
_cell_angle_gamma 90.00
loop_
_space_group_symop_operation_xyz
'x,y,z'
'-x,-y,-z'
'-x,y,-z'
'x,-y,z'
'x+1/2,y+1/2,z'
'-x+1/2,-y+1/2,-z'
'-x+1/2,y+1/2,-z'
'x+1/2,-y+1/2,z'
loop_
_atom_site_label
_atom_site_fract_x
_atom_site_fract_y
_atom_site_fract_z
Tl1 0.213 0.000 0.172
Zn1 0.000 0.243 0.500
Zn2 0.000 0.500 0.000
F1 0.084 0.278 0.882
F2 0.084 0.500 0.401
F3 0.095 0.000 0.467

# Tl3ZnF PBE-GGA optimized geometry
# **DFT total energy**: -2.2533 eV per atom
# **E_form (uncorrected)**: -204 meV per atom
# **Total magnetic moment**: 0.0 μB/f.u.
# **Offset from the most stable computed form**: 21.1 kJ/mol of atoms
data_Tl3ZnF
_space_group_name_H-M_alt 'P m -3 m'
_space_group_IT_number 221
_space_group_name_Hall '-P 4 2 3'
_cell_length_a 5.392
_cell_length_b 5.392
_cell_length_c 5.392
_cell_angle_alpha 90.00
_cell_angle_beta 90.00
_cell_angle_gamma 90.00
loop_
_atom_site_label
_atom_site_fract_x
_atom_site_fract_y
_atom_site_fract_z
Tl1 0.000 0.000 0.500
Zn1 0.000 0.000 0.000
F1 0.500 0.500 0.500

# TlZnF5 PBE-GGA optimized geometry
# **DFT total energy**: -3.8709 eV per atom
# **E_form (uncorrected)**: -2014 meV per atom
# **Total magnetic moment**: 0.0 μB/f.u.
data_TlZnF5
_space_group_name_H-M_alt 'C 1 2/c 1'
_space_group_IT_number 15
_cell_length_a 9.051
_cell_length_b 6.665
_cell_length_c 7.667
_cell_angle_alpha 90.00
_cell_angle_beta 114.48
_cell_angle_gamma 90.00
loop_
_space_group_symop_operation_xyz
'x,y,z'
'-x,-y,-z'
'-x,y,-z+1/2'
'x,-y,z+1/2'
'x+1/2,y+1/2,z'
'-x+1/2,-y+1/2,-z'
'-x+1/2,y+1/2,-z+1/2'
'x+1/2,-y+1/2,z+1/2'
loop_
_atom_site_label
_atom_site_fract_x
_atom_site_fract_y
_atom_site_fract_z
Tl1 0.000 0.051 0.250
Zn1 0.000 0.500 0.000
F1 0.000 0.403 0.250
F2 0.020 0.194 0.969
F3 0.245 0.455 0.632

# Tl2ZnF PBE-GGA optimized geometry
# **DFT total energy**: -2.5272 eV per atom
# **E_form (uncorrected)**: -558 meV per atom
# **Total magnetic moment**: 0.0 μB/f.u.
# **Offset from the most stable computed form**: 0.6 kJ/mol of atoms
data_Tl2ZnF
_space_group_name_H-M_alt 'I -4 2 d'
_space_group_IT_number 122
_space_group_name_Hall 'I -4 2bw'
_cell_length_a 5.576
_cell_length_b 5.576
_cell_length_c 15.041
_cell_angle_alpha 90.00
_cell_angle_beta 90.00
_cell_angle_gamma 90.00
loop_
_atom_site_label
_atom_site_fract_x
_atom_site_fract_y
_atom_site_fract_z
Tl1 0.195 0.250 0.125
Zn1 0.000 0.000 0.500
F1 0.000 0.000 0.000